{
  "formula": "AlMo2Pt",
  "functional": "PBE",
  "state": "optimized geometry",
  "final_energy_ev_per_cell": -32.20,
  "spacegroup": "No. 216",
  "cell": [[0.000, 3.135, 3.135], [3.135, 0.000, 3.135], [3.135, 3.135, 0.000]],
  "species": ["Pt", "Mo", "Mo", "Al"],
  "fractional_positions": [[0.250, 0.250, 0.250], [0.000, 0.000, 0.000], [0.750, 0.750, 0.750], [0.500, 0.500, 0.500]]
}